1.
VASP calculation (meta-GGA SCAN) on a PBEsol-optimized structure of Sc2BiC.

Formation energy from the elements, eV/atom: -0.3707

a b c (Å): 5.8721 5.8721 5.8721
angles (deg): 108.12 108.12 112.20
Element x y z (fractional)
1 Sc 0.6250 0.2169 0.0919
2 Sc 0.4669 0.3750 0.5919
3 C 0.5000 0.5000 0.0000
4 Bi 0.0000 0.0000 0.0000
5 Sc 0.7831 0.8750 0.4081
6 C 0.7500 0.2500 0.5000
7 Bi 0.2500 0.7500 0.5000
8 Sc 0.1250 0.5331 0.9081


2.
VASP calculation (meta-GGA SCAN) on a PBEsol-optimized structure of NaPSe2.

Formation energy without anion corrections, eV per atom: -0.273

a b c (Å): 6.0775 6.0775 7.5716
angles (deg): 113.66 113.66 90.00
Element x y z (fractional)
1 P 0.2500 0.7500 0.5000
2 Na 0.7500 0.2500 0.5000
3 P 0.0000 0.0000 0.0000
4 Na 0.5000 0.5000 0.0000
5 Se 0.9503 0.3750 0.2500
6 Se 0.1250 0.0497 0.7500
7 Se 0.6250 0.7003 0.7500
8 Se 0.2997 0.8750 0.2500


3.
VASP calculation (meta-GGA SCAN) on a PBEsol-optimized structure of La2Tl2Mo.

Formation energy from the elements, eV/atom: 0.4304

a b c (Å): 3.9564 3.9564 9.7064
angles (deg): 101.76 101.76 90.00
Each line ends with the local moment (μB).
Element x y z (fractional)
1 La 0.4139 0.4139 0.8279  -0.04
2 Tl 0.2500 0.7500 0.5000  0.00
3 Tl 0.7500 0.2500 0.5000  0.00
4 Mo 0.0000 0.0000 0.0000  1.14
5 La 0.5861 0.5861 0.1721  -0.04


4.
VASP calculation (meta-GGA SCAN) on a PBEsol-optimized structure of HfTe2Ru.

Formation energy without anion corrections, eV per atom: 0.257
Excess energy over the best structure of this formula in the dataset, kcal/mol of atoms: 6.706

a b c (Å): 3.3351 3.3351 9.3836
angles (deg): 79.76 79.76 60.00
Element x y z (fractional)
1 Te 0.9095 0.9095 0.2716
2 Hf 0.5000 0.5000 0.5000
3 Te 0.0905 0.0905 0.7284
4 Ru 0.0000 0.0000 0.0000


| no. | electronic total energy (eV for the cell shown) |
| --- | --- |
| 1 | -237.3 |
| 2 | -111.7 |
| 3 | -263.7 |
| 4 | -171.0 |